# 1
A relaxed Ta4TlPN2 crystal. Source: OQMD, functional PBE-GGA.

The structure in POSCAR format:
```
Ta4TlPN2
1.0
3.267 0.000 0.000
-1.633 2.829 0.000
0.000 0.000 12.701
Ta N P Tl
4 2 1 1
direct
0.667 0.333 0.365 Ta
0.333 0.667 0.189 Ta
0.667 0.333 0.635 Ta
0.333 0.667 0.811 Ta
0.000 0.000 0.270 N
0.000 0.000 0.730 N
0.333 0.667 0.500 P
0.667 0.333 0.000 Tl
```

Results
* raw total energy: -9.495 eV per atom
* magnetization: 0.01 μB/cell

***

# 2
A relaxed Zr2Ta4P3N3 crystal. Source: OQMD, functional PBE-GGA.

The structure in POSCAR format:
```
Zr2Ta4P3N3
1.0
-0.057 -0.172 -5.733
-4.715 -1.746 -2.759
-2.324 11.659 2.533
Ta Zr N P
8 4 6 6
direct
0.806 0.962 0.404 Ta
0.038 0.194 0.096 Ta
0.129 0.302 0.405 Ta
0.962 0.806 0.904 Ta
0.871 0.698 0.595 Ta
0.698 0.871 0.095 Ta
0.194 0.038 0.596 Ta
0.302 0.129 0.905 Ta
0.535 0.366 0.606 Zr
0.634 0.465 0.894 Zr
0.366 0.535 0.106 Zr
0.465 0.634 0.394 Zr
0.500 0.000 0.500 N
0.000 0.500 0.000 N
0.172 0.665 0.500 N
0.665 0.172 0.000 N
0.828 0.335 0.500 N
0.335 0.828 0.000 N
0.936 0.064 0.750 P
0.582 0.770 0.750 P
0.230 0.418 0.750 P
0.770 0.582 0.250 P
0.418 0.230 0.250 P
0.064 0.936 0.250 P
```

Results
* raw total energy: -9.809 eV per atom
* magnetization: 0.02 μB/cell

***

# 3
A relaxed Tb3PN2 crystal. Source: OQMD, functional PBE-GGA.

The structure in POSCAR format:
```
Tb3PN2
1.0
-1.210 1.571 -3.027
3.210 -1.669 0.013
-4.059 -7.825 -2.438
Tb N P
3 2 1
direct
0.000 0.000 0.500 Tb
0.333 0.667 0.803 Tb
0.667 0.333 0.197 Tb
0.333 0.667 0.347 N
0.667 0.333 0.653 N
0.000 0.000 0.000 P
```

Results
* raw total energy: -7.515 eV per atom
* magnetization: 0.01 μB/cell

***

# 4
A relaxed TlPW4N2 crystal. Source: OQMD, functional PBE-GGA.

The structure in POSCAR format:
```
TlPW4N2
1.0
-1.450 2.586 0.164
-0.097 -1.600 -2.499
-11.463 -6.730 4.753
W N P Tl
4 2 1 1
direct
0.000 0.000 0.324 W
0.000 0.000 0.676 W
0.667 0.333 0.872 W
0.667 0.333 0.128 W
0.333 0.667 0.770 N
0.333 0.667 0.230 N
0.000 0.000 0.000 P
0.667 0.333 0.500 Tl
```

Results
* raw total energy: -9.204 eV per atom
* magnetization: 0.01 μB/cell

***

# 5
A relaxed Zr4TlPN2 crystal. Source: OQMD, functional PBE-GGA.

The structure in POSCAR format:
```
Zr4TlPN2
1.0
-3.124 0.257 1.243
1.446 -3.030 -0.313
5.038 1.118 12.435
Tl Zr P N
1 4 1 2
direct
0.667 0.333 0.500 Tl
0.000 0.000 0.683 Zr
0.000 0.000 0.317 Zr
0.667 0.333 0.867 Zr
0.667 0.333 0.133 Zr
0.000 0.000 0.000 P
0.333 0.667 0.771 N
0.333 0.667 0.229 N
```

Results
* raw total energy: -8.550 eV per atom
* magnetization: 0.00 μB/cell

***

# 6
A relaxed Tm3PN crystal. Source: OQMD, functional PBE-GGA.

The structure in POSCAR format:
```
Tm3PN
1.0
1.823 -5.782 0.000
1.823 5.782 0.000
0.000 0.000 8.917
N Tm P
2 6 2
direct
0.000 0.000 0.000 N
0.000 0.000 0.500 N
0.370 0.630 0.444 Tm
0.064 0.936 0.250 Tm
0.936 0.064 0.750 Tm
0.370 0.630 0.056 Tm
0.630 0.370 0.944 Tm
0.630 0.370 0.556 Tm
0.746 0.254 0.250 P
0.254 0.746 0.750 P
```

Results
* raw total energy: -6.707 eV per atom
* magnetization: 0.73 μB/cell

***

# 7
A relaxed Tm3PN2 crystal. Source: OQMD, functional PBE-GGA.

The structure in POSCAR format:
```
Tm3PN2
1.0
3.524 0.000 0.000
-1.762 3.052 0.000
0.000 0.000 8.946
N Tm P
2 3 1
direct
0.333 0.667 0.347 N
0.667 0.333 0.653 N
0.667 0.333 0.199 Tm
0.000 0.000 0.500 Tm
0.333 0.667 0.801 Tm
0.000 0.000 0.000 P
```

Results
* raw total energy: -7.529 eV per atom
* magnetization: 0.00 μB/cell

***

# 8
A relaxed Y2P3W4N3 crystal. Source: OQMD, functional PBE-GGA.

The structure in POSCAR format:
```
Y2P3W4N3
1.0
4.978 -2.936 0.000
4.978 2.936 0.000
-3.260 0.000 11.608
W N P Y
8 6 6 4
direct
0.819 0.956 0.412 W
0.869 0.712 0.588 W
0.712 0.869 0.088 W
0.131 0.288 0.412 W
0.956 0.819 0.912 W
0.044 0.181 0.088 W
0.288 0.131 0.912 W
0.181 0.044 0.588 W
0.500 0.000 0.500 N
0.665 0.168 0.000 N
0.000 0.500 0.000 N
0.335 0.832 0.000 N
0.832 0.335 0.500 N
0.168 0.665 0.500 N
0.043 0.957 0.250 P
0.957 0.043 0.750 P
0.427 0.193 0.251 P
0.573 0.807 0.749 P
0.807 0.573 0.249 P
0.193 0.427 0.751 P
0.371 0.534 0.112 Y
0.466 0.629 0.388 Y
0.534 0.371 0.612 Y
0.629 0.466 0.888 Y
```

Results
* raw total energy: -9.283 eV per atom
* magnetization: 0.00 μB/cell

***

Which value of raw total energy does entry 8 give?
-9.283 eV per atom

***

Which formula does entry 1 have?
Ta4TlPN2

***

Which value of magnetization does entry 5 give?
0.00 μB/cell

***

Please write out number 6 again, unchanged.
A relaxed Tm3PN crystal. Source: OQMD, functional PBE-GGA.

The structure in POSCAR format:
```
Tm3PN
1.0
1.823 -5.782 0.000
1.823 5.782 0.000
0.000 0.000 8.917
N Tm P
2 6 2
direct
0.000 0.000 0.000 N
0.000 0.000 0.500 N
0.370 0.630 0.444 Tm
0.064 0.936 0.250 Tm
0.936 0.064 0.750 Tm
0.370 0.630 0.056 Tm
0.630 0.370 0.944 Tm
0.630 0.370 0.556 Tm
0.746 0.254 0.250 P
0.254 0.746 0.750 P
```

Results
* raw total energy: -6.707 eV per atom
* magnetization: 0.73 μB/cell